# TbZrOsPd

A relaxed TbZrOsPd crystal (GGA-PBE, the Alexandria database).

Cell and atoms, written as POSCAR:
```
TbZrOsPd
1.0
0.0000 3.3884 3.3884
3.3884 0.0000 3.3884
3.3884 3.3884 0.0000
Tb Zr Os Pd
1 1 1 1
Direct
0.0000 0.0000 0.0000
0.5000 0.5000 0.5000
0.7500 0.7500 0.7500
0.2500 0.2500 0.2500
```

Values from the calculation:
The value obtained for the volume is 77.8 Å³/cell. The magnetic moment is 0.0 Bohr magnetons per cell. The space group is F-43m (216). As for the energy relative to the elements: -0.512 eV/atom. For the raw total energy, the calculation gives -7.913 eV/atom.